# 1
Crystalline FeSiCN at its relaxed geometry. Source: Alexandria, functional PBE.

a b c (Å): 3.7465 4.4530 2.8743
angles (deg): 71.19 112.55 92.97
Closest atoms and distances in Å follow each position.
Fractional coordinates of all 4 atoms:
Si1 0.0634 0.7070 0.9001  2 C 1.86, 1 N 1.89
Fe1 0.4908 0.0832 0.9255  2 N 1.93, 1 C 1.98
N1 0.4800 0.3894 0.2672  1 C 1.44
C1 0.7384 0.6416 0.2704  1 N 1.44

Values from the calculation:
Total moment in μB/f.u.: 0.93
E_form (uncorrected) in eV/atom: 0.3744
Volume in A^3/atom: 10.4

***

# 2
Crystalline FeSiCN at its relaxed geometry. Source: Alexandria, functional PBE.

a b c (Å): 2.8511 2.7283 5.2955
angles (deg): 90.02 86.50 61.41
Closest atoms and distances in Å follow each position.
Fractional coordinates of all 4 atoms:
N1 0.7120 0.3746 0.6272  3 Si 1.79-1.83, 1 Fe 1.98
Si1 0.0988 0.6811 0.4724  3 N 1.79-1.83
Fe1 0.6235 0.4192 0.0025  3 C 1.91-1.93, 1 N 1.98
C1 0.2497 0.1062 0.1950  3 Fe 1.91-1.93, 2 Si 2.02

Values from the calculation:
Total moment in μB/f.u.: 0.86
E_form (uncorrected) in eV/atom: 0.0702
Volume in A^3/atom: 9.0

***

# 3
Crystalline FeSiCN at its relaxed geometry. Source: Alexandria, functional PBE.

a b c (Å): 2.7186 2.7185 5.4588
angles (deg): 90.00 90.00 120.00
Closest atoms and distances in Å follow each position.
Fractional coordinates of all 4 atoms:
Si1 0.6497 0.3121 0.5051  3 N 1.87
N1 0.3163 0.6453 0.6907  1 C 1.39
C1 0.3162 0.6452 0.9454  1 N 1.39
Fe1 0.9828 0.9785 0.1559  3 C 1.95

Values from the calculation:
Total moment in μB/f.u.: 0.72
E_form (uncorrected) in eV/atom: -0.0896
Volume in A^3/atom: 8.7

***

# 4
Crystalline FeSiCN at its relaxed geometry. Source: Alexandria, functional PBE.

a b c (Å): 3.9541 5.7712 2.6739
angles (deg): 76.64 132.45 110.01
Closest atoms and distances in Å follow each position.
Fractional coordinates of all 4 atoms:
N1 0.6353 0.3396 0.3407  1 C 1.25
Fe1 0.5102 0.0896 0.8405  2 N 1.90
Si1 0.8768 0.8225 0.8409  2 C 1.92
C1 0.7503 0.5695 0.3410  1 N 1.25

Values from the calculation:
Total moment in μB/f.u.: 0.86
E_form (uncorrected) in eV/atom: 0.2649
Volume in A^3/atom: 10.6

***

no.,energy above the most stable polymorph in this dataset (kJ/mol of formula units)
1,179
2,62
3,0
4,137